No. 1
Density functional theory data (PBE) for an optimized crystal structure of Na3GeBi.

Geometry as POSCAR:
```
Na3GeBi
1.0
5.4848 0.0000 0.0000
0.0000 5.4848 0.0000
0.0000 0.0000 5.4848
Bi Na Ge
1 3 1
Direct
0.5000 0.5000 0.5000 Bi
0.0000 0.0000 0.5000 Na
0.5000 0.0000 0.0000 Na
0.0000 0.5000 0.0000 Na
0.0000 0.0000 0.0000 Ge
```

- crystal system = cubic
- space-group type = Pm-3m


No. 2
Density functional theory data (PBE) for an optimized crystal structure of Na3GeBi.

Geometry as POSCAR:
```
Na3GeBi
1.0
7.7726 -1.0963 0.8323
-4.7703 6.2337 -0.8323
-2.7738 -1.8249 7.1612
Bi Na Ge
2 6 2
Direct
0.4456 0.2722 0.6734 Bi
0.5988 0.7722 0.3266 Bi
0.9971 0.7686 0.7285 Na
0.1959 0.3818 0.8458 Na
0.5359 0.8818 0.6858 Na
0.0400 0.2686 0.2715 Na
0.1959 0.8501 0.3142 Na
0.5359 0.3501 0.1542 Na
0.4284 0.8857 0.0427 Ge
0.8430 0.3857 0.9573 Ge
```

- crystal system = orthorhombic
- space-group type = Ima2


No. 3
Density functional theory data (PBE) for an optimized crystal structure of Na2GeBi.

Geometry as POSCAR:
```
Na2GeBi
1.0
-3.4843 -0.9424 0.0926
0.7511 -2.5353 2.4586
-1.2431 5.1559 5.6965
Na Bi Ge
2 1 1
Direct
0.0000 0.0000 0.7750 Na
0.0000 0.0000 0.2250 Na
0.5000 0.5000 0.5000 Bi
0.5000 0.5000 0.0000 Ge
```

- crystal system = tetragonal
- space-group type = P4/mmm


No. 4
Density functional theory data (PBE) for an optimized crystal structure of Na2GeBi.

Geometry as POSCAR:
```
Na2GeBi
1.0
4.8009 0.0000 0.0000
0.0000 4.5883 0.0000
0.0000 0.0000 4.5883
Bi Na Ge
1 2 1
Direct
0.5000 0.5000 0.5000 Bi
0.0000 0.5000 0.0000 Na
0.0000 0.0000 0.5000 Na
0.5000 0.0000 0.0000 Ge
```

- crystal system = tetragonal
- space-group type = P4/mmm


No. 5
Density functional theory data (PBE) for an optimized crystal structure of Na2GeBi2.

Geometry as POSCAR:
```
Na2GeBi2
1.0
9.1862 0.0000 0.0000
0.0000 9.1862 0.0000
0.0000 0.0000 3.3223
Na Bi Ge
4 4 2
Direct
0.8845 0.6155 0.0000 Na
0.3845 0.8845 0.0000 Na
0.6155 0.1155 0.0000 Na
0.1155 0.3845 0.0000 Na
0.1857 0.6857 0.5000 Bi
0.6857 0.8143 0.5000 Bi
0.8143 0.3143 0.5000 Bi
0.3143 0.1857 0.5000 Bi
0.5000 0.5000 0.0000 Ge
0.0000 0.0000 0.0000 Ge
```

- crystal system = tetragonal
- space-group type = P4/mbm


No. 6
Density functional theory data (PBE) for an optimized crystal structure of Na2GeBi2.

Geometry as POSCAR:
```
Na2GeBi2
1.0
-7.4605 3.9629 3.0671
-3.3555 0.1350 -8.3363
-1.4542 -3.1512 0.5343
Bi Ge Na
4 2 4
Direct
0.3708 0.8708 0.0000 Bi
0.8708 0.6292 0.0000 Bi
0.6292 0.1292 0.0000 Bi
0.1292 0.3708 0.0000 Bi
0.0000 0.0000 0.0000 Ge
0.5000 0.5000 0.0000 Ge
0.3300 0.1700 0.5000 Na
0.1700 0.6700 0.5000 Na
0.8300 0.3300 0.5000 Na
0.6700 0.8300 0.5000 Na
```

- crystal system = tetragonal
- space-group type = P4/mbm


No. 7
Density functional theory data (PBE) for an optimized crystal structure of Na2GeBi2.

Geometry as POSCAR:
```
Na2GeBi2
1.0
7.3009 0.0000 0.0000
0.0000 6.7877 0.0000
-3.6504 -3.3938 6.5801
Ge Bi Na
2 4 4
Direct
0.7500 0.5000 0.0000 Ge
0.2500 0.5000 0.0000 Ge
0.1309 0.8224 0.2617 Bi
0.6309 0.4393 0.2617 Bi
0.8691 0.1776 0.7383 Bi
0.3691 0.5607 0.7383 Bi
0.1185 0.2896 0.2369 Na
0.3815 0.0527 0.7631 Na
0.8815 0.7104 0.7631 Na
0.6185 0.9473 0.2369 Na
```

- crystal system = orthorhombic
- space-group type = Ibam


No. 8
Density functional theory data (PBE) for an optimized crystal structure of Na2GeBiP.

Geometry as POSCAR:
```
Na2GeBiP
1.0
5.2052 0.0000 0.0000
0.0000 5.4520 0.0000
0.0000 0.0000 5.2052
Na P Ge Bi
2 1 1 1
Direct
0.0000 0.0000 0.5000 Na
0.5000 0.0000 0.0000 Na
0.0000 0.0000 0.0000 P
0.5000 0.5000 0.5000 Ge
0.0000 0.5000 0.0000 Bi
```

- crystal system = tetragonal
- space-group type = P4/mmm


No. 9
Density functional theory data (PBE) for an optimized crystal structure of NaGeBiPb.

Geometry as POSCAR:
```
NaGeBiPb
1.0
-1.1302 0.7708 5.1663
1.5882 -3.5717 3.6446
3.9035 1.2405 3.4332
Ge Bi Pb Na
1 1 1 1
Direct
0.2500 0.2500 0.2500 Ge
0.0000 0.0000 0.0000 Bi
0.5000 0.5000 0.5000 Pb
0.7500 0.7500 0.7500 Na
```

- crystal system = cubic
- space-group type = F-43m


No. 10
Density functional theory data (PBE) for an optimized crystal structure of Na2Ge2BiPd5.

Geometry as POSCAR:
```
Na2Ge2BiPd5
1.0
3.5133 0.0000 0.0000
0.0000 10.3956 0.0000
0.0000 0.0000 10.3956
Pd Na Bi Ge
10 4 2 4
Direct
0.5000 0.0000 0.5000 Pd
0.5000 0.0661 0.7840 Pd
0.5000 0.5000 0.0000 Pd
0.5000 0.2840 0.5661 Pd
0.5000 0.7840 0.9339 Pd
0.5000 0.2160 0.0661 Pd
0.5000 0.9339 0.2160 Pd
0.5000 0.7160 0.4339 Pd
0.5000 0.5661 0.7160 Pd
0.5000 0.4339 0.2840 Pd
0.0000 0.6751 0.1751 Na
0.0000 0.8249 0.6751 Na
0.0000 0.3249 0.8249 Na
0.0000 0.1751 0.3249 Na
0.0000 0.5000 0.5000 Bi
0.0000 0.0000 0.0000 Bi
0.0000 0.3762 0.1238 Ge
0.0000 0.1238 0.6238 Ge
0.0000 0.8762 0.3762 Ge
0.0000 0.6238 0.8762 Ge
```

- crystal system = tetragonal
- space-group type = P4/mbm


No. 11
Density functional theory data (PBE) for an optimized crystal structure of NaPmGeBi.

Geometry as POSCAR:
```
NaPmGeBi
1.0
5.3481 0.0000 0.0000
2.6741 4.6316 0.0000
2.6741 1.5439 4.3667
Na Bi Pm Ge
1 1 1 1
Direct
0.5000 0.5000 0.5000 Na
0.7500 0.7500 0.7500 Bi
0.0000 0.0000 0.0000 Pm
0.2500 0.2500 0.2500 Ge
```

- crystal system = cubic
- space-group type = F-43m


No. 12
Density functional theory data (PBE) for an optimized crystal structure of RbNaGeBi2.

Geometry as POSCAR:
```
RbNaGeBi2
1.0
5.7084 0.0000 0.0000
0.0000 6.2296 0.0000
0.0000 0.0000 5.7084
Bi Na Ge Rb
2 1 1 1
Direct
0.5000 0.0000 0.0000 Bi
0.0000 0.0000 0.5000 Bi
0.5000 0.5000 0.5000 Na
0.0000 0.0000 0.0000 Ge
0.0000 0.5000 0.0000 Rb
```

- crystal system = tetragonal
- space-group type = P4/mmm


Table of ΔH_f (0 K) (meV/atom), in record order: 284, -79, -56, -117, 95, 37, -99, 281, 67, -379, -301, 174